An optimized crystal structure of Sm12Au3O5, computed with GGA-PBE.

It has space group Ia-3d (No. 230), with a = 15.7303 Å, b = 15.7303 Å, c = 15.7303 Å, α = 90.00°, β = 90.00° and γ = 90.00°. The inequivalent atoms are Sm at (0.0371, 0.0530, 0.6491), Au at (0.0000, 0.2500, 0.1250), O at (0.0000, 0.0000, 0.0000) and O at (0.0000, 0.2500, 0.3750).

=====

An optimized crystal structure of Pu2ZrRhN4, computed with GGA-PBE.

It has space group Cmcm (No. 63), with a = 3.2389 Å, b = 11.3779 Å, c = 11.7459 Å, α = 90.00°, β = 90.00° and γ = 90.00°. The inequivalent atoms are Pu at (0.0000, 0.1296, 0.0541), Zr at (0.0000, 0.3757, 0.2500), Rh at (0.0000, 0.3598, 0.7500), N at (0.0000, 0.0235, 0.2500), N at (0.0000, 0.2155, 0.6282) and N at (0.0000, 0.5000, 0.0000).

=====

An optimized crystal structure of DyMgGaO4, computed with GGA-PBE.

It has space group Imma (No. 74), with a = 6.1978 Å, b = 6.4165 Å, c = 8.7521 Å, α = 90.00°, β = 90.00° and γ = 90.00°. The inequivalent atoms are Dy at (0.0000, 0.0000, 0.0000), Mg at (0.2500, 0.2500, 0.2500), Ga at (0.0000, 0.2500, 0.6236), O at (0.0000, 0.0046, 0.2570) and O at (0.2474, 0.2500, 0.4925).

=====

An optimized crystal structure of Li2PuUTe4, computed with GGA-PBE.

It has space group P2/m (No. 10), with a = 7.4882 Å, b = 4.3655 Å, c = 7.5733 Å, α = 90.00°, β = 109.59° and γ = 90.00°. The inequivalent atoms are Li at (0.0000, 0.0000, 0.0000), Li at (0.0000, 0.5000, 0.5000), Pu at (0.5000, 0.0000, 0.5000), U at (0.5000, 0.5000, 0.0000), Te at (0.2409, 0.0000, 0.7502) and Te at (0.2416, 0.5000, 0.2435).

=====

no.,E (eV/atom),ΔE_f (raw) (meV/atom)
1,-6.15,-1589
2,-10.53,-798
3,-6.75,-2603
4,-6.15,-898